1.
# Tb6PmY3Ho2 PBE relaxed
data_Tb6PmY3Ho2
_chemical_formula_sum 'Tb12 Pm2 Y6 Ho4'
_symmetry_space_group_name_H-M 'C 1 2/m 1'
_symmetry_Int_Tables_number 12
_cell_length_a 6.176
_cell_length_b 10.688
_cell_length_c 11.818
_cell_angle_alpha 90.00
_cell_angle_beta 99.97
_cell_angle_gamma 90.00
loop_
_symmetry_equiv_pos_as_xyz
'x,y,z'
'-x,-y,-z'
'-x,y,-z'
'x,-y,z'
'x+1/2,y+1/2,z'
'-x+1/2,-y+1/2,-z'
'-x+1/2,y+1/2,-z'
'x+1/2,-y+1/2,z'
loop_
_atom_site_label
_atom_site_fract_x
_atom_site_fract_y
_atom_site_fract_z
Tb1 0.249 0.167 0.250
Tb2 0.250 0.000 0.750
Pm1 0.000 0.500 0.500
Y1 0.000 0.000 0.000
Y2 0.000 0.333 0.000
Ho1 0.000 0.167 0.500
# Total magnetic moment in μB per cell: 0.0
# Calculated formation energy in eV per atom: 0.0166

---

2.
# BaSrZrBe2 PBE relaxed
data_BaSrZrBe2
_chemical_formula_sum 'Ba1 Sr1 Zr1 Be2'
_symmetry_space_group_name_H-M 'P 4/m m m'
_symmetry_Int_Tables_number 123
_symmetry_space_group_name_Hall '-P 4 2'
_cell_length_a 5.105
_cell_length_b 5.105
_cell_length_c 5.629
_cell_angle_alpha 90.00
_cell_angle_beta 90.00
_cell_angle_gamma 90.00
loop_
_atom_site_label
_atom_site_fract_x
_atom_site_fract_y
_atom_site_fract_z
Ba1 0.000 0.000 0.000
Sr1 0.000 0.000 0.500
Zr1 0.500 0.500 0.500
Be1 0.000 0.500 0.000
# Total magnetic moment in μB per cell: 0.0
# Calculated formation energy in eV per atom: 1.9124

---

3.
# CeZr5Bi6 PBE relaxed
data_CeZr5Bi6
_chemical_formula_sum 'Ce2 Zr10 Bi12'
_symmetry_space_group_name_H-M 'C 1 2/m 1'
_symmetry_Int_Tables_number 12
_cell_length_a 7.409
_cell_length_b 12.912
_cell_length_c 7.475
_cell_angle_alpha 90.00
_cell_angle_beta 109.35
_cell_angle_gamma 90.00
loop_
_symmetry_equiv_pos_as_xyz
'x,y,z'
'-x,-y,-z'
'-x,y,-z'
'x,-y,z'
'x+1/2,y+1/2,z'
'-x+1/2,-y+1/2,-z'
'-x+1/2,y+1/2,-z'
'x+1/2,-y+1/2,z'
loop_
_atom_site_label
_atom_site_fract_x
_atom_site_fract_y
_atom_site_fract_z
Ce1 0.000 0.000 0.000
Zr1 0.000 0.144 0.500
Zr2 0.000 0.320 0.000
Zr3 0.000 0.500 0.500
Bi1 0.222 0.500 0.233
Bi2 0.234 0.326 0.731
# Total magnetic moment in μB per cell: 1.9
# Calculated formation energy in eV per atom: -0.2736

---

4.
# PmY2Pt PBE relaxed
data_PmY2Pt
_chemical_formula_sum 'Pm4 Y8 Pt4'
_symmetry_space_group_name_H-M 'C m c m'
_symmetry_Int_Tables_number 63
_symmetry_space_group_name_Hall '-C 2c 2'
_cell_length_a 3.805
_cell_length_b 12.458
_cell_length_c 9.472
_cell_angle_alpha 90.00
_cell_angle_beta 90.00
_cell_angle_gamma 90.00
loop_
_atom_site_label
_atom_site_fract_x
_atom_site_fract_y
_atom_site_fract_z
Pm1 0.000 0.069 0.250
Y1 0.000 0.362 0.064
Pt1 0.000 0.240 0.750
# Relative energy among the computed polymorphs in eV/atom: 0.0353
# Total magnetic moment in μB per cell: 0.0
# Calculated formation energy in eV per atom: -0.6525

---

5.
# Sm2YEr6Tm PBE relaxed
data_Sm2YEr6Tm
_chemical_formula_sum 'Sm8 Y4 Er24 Tm4'
_symmetry_space_group_name_H-M 'C 1 2/c 1'
_symmetry_Int_Tables_number 15
_cell_length_a 8.951
_cell_length_b 14.982
_cell_length_c 9.559
_cell_angle_alpha 90.00
_cell_angle_beta 98.38
_cell_angle_gamma 90.00
loop_
_symmetry_equiv_pos_as_xyz
'x,y,z'
'-x,-y,-z'
'-x,y,-z+1/2'
'x,-y,z+1/2'
'x+1/2,y+1/2,z'
'-x+1/2,-y+1/2,-z'
'-x+1/2,y+1/2,-z+1/2'
'x+1/2,-y+1/2,z+1/2'
loop_
_atom_site_label
_atom_site_fract_x
_atom_site_fract_y
_atom_site_fract_z
Sm1 0.249 0.054 0.043
Y1 0.000 0.020 0.750
Er1 0.063 0.190 0.443
Er2 0.104 0.394 0.619
Er3 0.203 0.224 0.813
Tm1 0.000 0.408 0.250
# Total magnetic moment in μB per cell: 0.0
# Calculated formation energy in eV per atom: 0.1150

---

6.
# BiHRuW2 PBE relaxed
data_BiHRuW2
_chemical_formula_sum 'Bi1 H1 Ru1 W2'
_symmetry_space_group_name_H-M 'P 4/m m m'
_symmetry_Int_Tables_number 123
_symmetry_space_group_name_Hall '-P 4 2'
_cell_length_a 3.882
_cell_length_b 3.882
_cell_length_c 4.957
_cell_angle_alpha 90.00
_cell_angle_beta 90.00
_cell_angle_gamma 90.00
loop_
_atom_site_label
_atom_site_fract_x
_atom_site_fract_y
_atom_site_fract_z
Bi1 0.000 0.000 0.000
H1 0.000 0.000 0.500
Ru1 0.500 0.500 0.000
W1 0.000 0.500 0.500
# Total magnetic moment in μB per cell: 0.0
# DFT total energy in eV/atom: -7.717

---

7.
# Ce2Y2Ni15 PBE relaxed
data_Ce2Y2Ni15
_chemical_formula_sum 'Ce6 Y6 Ni45'
_symmetry_space_group_name_H-M 'R -3 m'
_symmetry_Int_Tables_number 166
_symmetry_space_group_name_Hall '-R 3 2"'
_cell_length_a 8.5020
_cell_length_b 8.5020
_cell_length_c 12.6910
_cell_angle_alpha 90.00
_cell_angle_beta 90.00
_cell_angle_gamma 120.00
loop_
_atom_site_label
_atom_site_fract_x
_atom_site_fract_y
_atom_site_fract_z
Ce1 0.0000 0.0000 0.1080
Y1 0.0000 0.0000 0.3621
Ni1 0.0000 0.3182 0.0000
Ni2 0.0000 0.5000 0.5000
Ni3 0.0087 0.5043 0.1592
# Total magnetic moment in μB per cell: 0.0
# Calculated formation energy in eV per atom: -0.2646

---

8.
# VCr2Hg PBE relaxed
data_VCr2Hg
_chemical_formula_sum 'V4 Cr8 Hg4'
_symmetry_space_group_name_H-M 'I -4 2 d'
_symmetry_Int_Tables_number 122
_symmetry_space_group_name_Hall 'I -4 2bw'
_cell_length_a 3.775
_cell_length_b 3.775
_cell_length_c 17.947
_cell_angle_alpha 90.00
_cell_angle_beta 90.00
_cell_angle_gamma 90.00
loop_
_atom_site_label
_atom_site_fract_x
_atom_site_fract_y
_atom_site_fract_z
V1 0.000 0.000 0.000
Cr1 0.172 0.250 0.125
Hg1 0.000 0.000 0.500
# Total magnetic moment in μB per cell: 0.0
# Calculated formation energy in eV per atom: 0.9560

---

- Look up the total magnetic moment of the sixth one.
  0.0 μB per cell

---

- Which of these has the highest total magnetic moment?
  CeZr5Bi6

---

- Number 3 is which compound?
  CeZr5Bi6